The following is a PBE calculation of a geometry-optimized VCdAu2 structure, from the Alexandria database.

Cell lengths 10.769, 10.769, 10.769 Å; angles 15.17, 15.17, 15.17 degrees
Element x y z (fractional)
V 0.000 0.000 0.000
Cd 0.500 0.500 0.500
Au 0.081 0.081 0.081
Au 0.919 0.919 0.919

Values from the calculation:
The total energy is -3.823 eV per atom. Its space group is R-3m (166). Its energy of formation is 324 meV per atom. As for the total magnetization: 0.254 μB/atom.